A relaxed structure of SmDyErMg, computed with GGA-PBE.

## Properties
Its total energy is -15.6 eV for the cell shown. The value obtained for the formation energy from the elements is -0.11 eV/f.u. For the spin magnetization, the calculation gives 0.000 μB/f.u.

a = 3.606 Å, b = 3.606 Å, c = 9.160 Å
α = 90.00°, β = 90.00°, γ = 90.00°
Space group P4mm (No. 99)
One atom of each set of equivalent atoms:
Sm  0.000  0.000  0.000
Dy  0.500  0.500  0.729
Er  0.500  0.500  0.269
Mg  0.000  0.000  0.497